# CaY2Zn | Alexandria via LeMat-Bulk | GGA-PBE | optimized geometry
# **DFT formation energy**: -0.03 eV/atom
# **Volume**: 31.081 A^3/atom
# **Final energy**: -48.912 eV for the cell shown
data_CaY2Zn
_cell_length_a 3.6841
_cell_length_b 3.6841
_cell_length_c 31.7318
_cell_angle_alpha 90.00
_cell_angle_beta 90.00
_cell_angle_gamma 120.00
_space_group_name_H-M_alt 'R -3 m'
_space_group_IT_number 166
_space_group_name_Hall '-R 3 2"'
loop_
_atom_site_label
_atom_site_type_symbol
_atom_site_fract_x
_atom_site_fract_y
_atom_site_fract_z
Ca1 Ca 0.0000 0.0000 0.0000
Y1 Y 0.0000 0.0000 0.2338
Zn1 Zn 0.0000 0.0000 0.5000